PrPa4O10 (PBE-GGA, relaxed); energy relative to the elements, uncorrected = -3.60 eV per atom; space group = I4/mmm, No. 139; crystal system = tetragonal; calculated total energy = -9.757 eV per atom
1.0
-1.9370 1.9370 13.8051
1.9370 -1.9370 13.8051
1.9370 1.9370 -13.8051
Pr Pa O
1 4 10
Direct
0.0000 0.0000 0.0000
0.2002 0.2002 0.0000
0.4006 0.4006 0.0000
0.5994 0.5994 0.0000
0.7998 0.7998 0.0000
0.0554 0.5554 0.5000
0.1517 0.6517 0.5000
0.2500 0.7500 0.5000
0.3483 0.8483 0.5000
0.4446 0.9446 0.5000
0.5554 0.0554 0.5000
0.6517 0.1517 0.5000
0.7500 0.2500 0.5000
0.8483 0.3483 0.5000
0.9446 0.4446 0.5000


Pr2Pa2O7 (PBE-GGA, relaxed); energy relative to the elements, uncorrected = -3.49 eV per atom; space group = Fd-3m, No. 227; crystal system = cubic; excess energy over the best structure of this formula in the dataset = 0.0 meV/atom; calculated total energy = -9.236 eV per atom
1.0
0.0000 5.5480 5.5480
5.5480 0.0000 5.5480
5.5480 5.5480 0.0000
Pr Pa O
4 4 14
Direct
0.0000 0.0000 0.0000
0.0000 0.0000 0.5000
0.0000 0.5000 0.0000
0.5000 0.0000 0.0000
0.0000 0.5000 0.5000
0.5000 0.0000 0.5000
0.5000 0.5000 0.0000
0.5000 0.5000 0.5000
0.1250 0.1250 0.1250
0.1485 0.1485 0.6015
0.1485 0.6015 0.1485
0.1485 0.6015 0.6015
0.3985 0.3985 0.8515
0.3985 0.8515 0.3985
0.3985 0.8515 0.8515
0.6015 0.1485 0.1485
0.6015 0.1485 0.6015
0.6015 0.6015 0.1485
0.8515 0.3985 0.3985
0.8515 0.3985 0.8515
0.8515 0.8515 0.3985
0.8750 0.8750 0.8750


Pr5Pa2O12 (PBE-GGA, relaxed); energy relative to the elements, uncorrected = -3.35 eV per atom; space group = C2/m, No. 12; crystal system = monoclinic; calculated total energy = -8.740 eV per atom
1.0
6.5849 -3.2538 0.0000
6.5849 3.2538 0.0000
-2.3680 0.0000 7.5259
Pr Pa O
5 2 12
Direct
0.0000 0.0000 0.0000
0.2961 0.2961 0.1340
0.3042 0.3042 0.6758
0.6958 0.6958 0.3242
0.7039 0.7039 0.8660
0.2394 0.7606 0.5000
0.7606 0.2394 0.5000
0.0010 0.0010 0.2982
0.0959 0.5929 0.9264
0.1004 0.5593 0.4105
0.4071 0.9041 0.0736
0.4407 0.8996 0.5895
0.4968 0.4968 0.6850
0.5032 0.5032 0.3150
0.5593 0.1004 0.4105
0.5929 0.0959 0.9264
0.8996 0.4407 0.5895
0.9041 0.4071 0.0736
0.9990 0.9990 0.7018


Pr3Pa5O12 (PBE-GGA, relaxed); energy relative to the elements, uncorrected = -3.07 eV per atom; space group = Ia-3d, No. 230; crystal system = cubic; calculated total energy = -9.137 eV per atom
1.0
-6.9445 6.9445 6.9445
6.9445 -6.9445 6.9445
6.9445 6.9445 -6.9445
Pr Pa O
12 20 48
Direct
0.1250 0.2500 0.3750
0.1250 0.3750 0.7500
0.2500 0.3750 0.1250
0.2500 0.8750 0.6250
0.3750 0.1250 0.2500
0.3750 0.7500 0.1250
0.6250 0.2500 0.8750
0.6250 0.8750 0.7500
0.7500 0.1250 0.3750
0.7500 0.6250 0.8750
0.8750 0.6250 0.2500
0.8750 0.7500 0.6250
0.0000 0.0000 0.0000
0.0000 0.0000 0.5000
0.0000 0.5000 0.0000
0.0000 0.5000 0.5000
0.1250 0.7500 0.8750
0.1250 0.8750 0.2500
0.2500 0.1250 0.8750
0.2500 0.6250 0.3750
0.3750 0.2500 0.6250
0.3750 0.6250 0.7500
0.5000 0.0000 0.0000
0.5000 0.0000 0.5000
0.5000 0.5000 0.0000
0.5000 0.5000 0.5000
0.6250 0.3750 0.2500
0.6250 0.7500 0.3750
0.7500 0.3750 0.6250
0.7500 0.8750 0.1250
0.8750 0.1250 0.7500
0.8750 0.2500 0.1250
0.0399 0.2128 0.1255
0.0399 0.3271 0.9144
0.0856 0.6255 0.4127
0.0856 0.9601 0.6729
0.0873 0.7128 0.6729
0.0873 0.8745 0.4144
0.1255 0.0399 0.2128
0.1255 0.5856 0.9127
0.1729 0.2128 0.5873
0.1729 0.4601 0.5856
0.2128 0.1255 0.0399
0.2128 0.5873 0.1729
0.2872 0.3271 0.9127
0.2872 0.4601 0.3745
0.3271 0.9127 0.2872
0.3271 0.9144 0.0399
0.3745 0.2872 0.4601
0.3745 0.5873 0.9144
0.4127 0.0856 0.6255
0.4127 0.8271 0.7872
0.4144 0.0873 0.8745
0.4144 0.8271 0.5399
0.4601 0.3745 0.2872
0.4601 0.5856 0.1729
0.5399 0.4144 0.8271
0.5399 0.6255 0.7128
0.5856 0.1729 0.4601
0.5856 0.9127 0.1255
0.5873 0.1729 0.2128
0.5873 0.9144 0.3745
0.6255 0.4127 0.0856
0.6255 0.7128 0.5399
0.6729 0.0856 0.9601
0.6729 0.0873 0.7128
0.7128 0.5399 0.6255
0.7128 0.6729 0.0873
0.7872 0.4127 0.8271
0.7872 0.8745 0.9601
0.8271 0.5399 0.4144
0.8271 0.7872 0.4127
0.8745 0.4144 0.0873
0.8745 0.9601 0.7872
0.9127 0.1255 0.5856
0.9127 0.2872 0.3271
0.9144 0.0399 0.3271
0.9144 0.3745 0.5873
0.9601 0.6729 0.0856
0.9601 0.7872 0.8745


PrPaO2 (PBE-GGA, relaxed); energy relative to the elements, uncorrected = -2.60 eV per atom; space group = R-3m, No. 166; crystal system = trigonal; excess energy over the best structure of this formula in the dataset = 0.0 meV/atom; calculated total energy = -8.645 eV per atom
1.0
1.8928 1.0928 6.4353
-1.8928 1.0928 6.4353
0.0000 -2.1856 6.4353
Pr Pa O
1 1 2
Direct
0.0000 0.0000 0.0000
0.5000 0.5000 0.5000
0.1285 0.1285 0.1285
0.8715 0.8715 0.8715


PrPaO2 (PBE-GGA, relaxed); energy relative to the elements, uncorrected = -1.81 eV per atom; space group = P4/mmm, No. 123; crystal system = tetragonal; excess energy over the best structure of this formula in the dataset = 792.2 meV/atom; calculated total energy = -7.853 eV per atom
1.0
3.1221 0.0000 0.0000
0.0000 3.1221 0.0000
0.0000 0.0000 6.2837
Pr Pa O
1 1 2
Direct
0.0000 0.0000 0.0000
0.0000 0.0000 0.5000
0.5000 0.5000 0.2745
0.5000 0.5000 0.7255


Which formula does entry 4 have?
Pr3Pa5O12


The lowest calculated total energy belongs to which entry?
PrPa4O10


What is the calculated total energy in the first record?
-9.757 eV per atom


Look up the energy relative to the elements, uncorrected of the second one.
-3.49 eV per atom